No. 1
Here is crystalline SiHgRuI2 at its relaxed geometry from Alexandria. Energies are from PBEsol.

a b c (Å): 4.5677 5.5490 5.5490
angles (deg): 90.00 90.00 90.00
With the nearest neighbours (Å) after each atom.
Atoms (fractional coordinates):
Si  0.0000  0.0000  0.0000  2 Ru 2.28
Ru  0.5000  0.0000  0.0000  2 Si 2.28
Hg  0.5000  0.5000  0.5000  8 I 3.59, 4 Ru 3.92
I  0.0000  0.5000  0.0000  2 Si 2.77
I  0.0000  0.0000  0.5000  2 Si 2.77

Results
raw formation energy	77.3	kJ/mol of atoms
crystal system	tetragonal
D(E_F)	5.0	states/eV/f.u.

---

No. 2
Here is crystalline HgS2I at its relaxed geometry from Alexandria. Energies are from PBEsol.

a b c (Å): 3.9550 3.9550 8.1754
angles (deg): 76.00 76.00 60.00
With the nearest neighbours (Å) after each atom.
Atoms (fractional coordinates):
I  0.0000  0.0000  0.0000  2 S 2.56
Hg  0.5000  0.5000  0.5000  6 S 2.66
S  0.8914  0.8914  0.3259  1 I 2.56, 3 Hg 2.66
S  0.1086  0.1086  0.6741  1 I 2.56, 3 Hg 2.66

Results
raw formation energy	11.9	kJ/mol of atoms
crystal system	trigonal
D(E_F)	2.2	states/eV/f.u.

---

No. 3
Here is crystalline HgS2I at its relaxed geometry from Alexandria. Energies are from PBEsol.

a b c (Å): 5.3276 5.3276 5.4401
angles (deg): 60.68 60.68 60.00
With the nearest neighbours (Å) after each atom.
Atoms (fractional coordinates):
Hg  0.0000  0.0000  0.0000  2 S 2.31
I  0.5000  0.5000  0.5000  6 S 3.08
S  0.1719  0.1719  0.4842  1 Hg 2.31
S  0.8281  0.8281  0.5158  1 Hg 2.31

Results
raw formation energy	36.1	kJ/mol of atoms
crystal system	trigonal
D(E_F)	2.6	states/eV/f.u.

---

No. 4
Here is crystalline HgS3I at its relaxed geometry from Alexandria. Energies are from PBEsol.

a b c (Å): 4.9229 4.9229 4.9229
angles (deg): 90.00 90.00 90.00
With the nearest neighbours (Å) after each atom.
Atoms (fractional coordinates):
S  0.5000  0.0000  0.0000  2 Hg 2.46
S  0.0000  0.5000  0.0000  2 Hg 2.46
S  0.0000  0.0000  0.5000  2 Hg 2.46
Hg  0.0000  0.0000  0.0000  6 S 2.46
I  0.5000  0.5000  0.5000  12 S 3.48

Results
raw formation energy	81.6	kJ/mol of atoms
crystal system	cubic
D(E_F)	5.4	states/eV/f.u.